[1]
Below is LiDyPd after structural relaxation, with properties calculated at the PBE level.

Output
Total magnetic moment   0.000 μB per atom
Space-group type   No. 216

Cell lengths 4.6224, 4.6224, 4.6224 Å; angles 60.00, 60.00, 60.00 degrees
With the nearest neighbours (Å) after each atom.
Fractional coordinates of all 3 atoms:
Li: 0.0000 0.0000 0.0000  4 Pd 2.83
Pd: 0.2500 0.2500 0.2500  4 Li 2.83, 4 Dy 2.83
Dy: 0.5000 0.5000 0.5000  4 Pd 2.83

[2]
Below is CeThTePb after structural relaxation, with properties calculated at the PBE level.

Output
Total magnetic moment   0.198 μB per atom
Space-group type   No. 123

Cell lengths 4.5235, 4.5235, 6.3995 Å; angles 90.00, 90.00, 90.00 degrees
With the nearest neighbours (Å) after each atom.
Fractional coordinates of all 4 atoms:
Ce: 0.0000 0.0000 0.5000  4 Pb 3.20, 2 Te 3.20
Th: 0.5000 0.5000 0.0000  4 Te 3.20, 2 Pb 3.20
Te: 0.0000 0.0000 0.0000  4 Th 3.20, 2 Ce 3.20
Pb: 0.5000 0.5000 0.5000  4 Ce 3.20, 2 Th 3.20

[3]
Below is Ho2PaRh after structural relaxation, with properties calculated at the PBE level.

Output
Total magnetic moment   0.090 μB per atom
Space-group type   No. 123

Cell lengths 3.3744, 3.3744, 8.3437 Å; angles 90.00, 90.00, 90.00 degrees
With the nearest neighbours (Å) after each atom.
Fractional coordinates of all 4 atoms:
Pa: 0.5000 0.5000 0.5000  4 Pa 3.37, 8 Ho 3.43
Rh: 0.5000 0.5000 0.0000  8 Ho 2.93
Ho: 0.0000 0.0000 0.7959  4 Rh 2.93
Ho: 0.0000 0.0000 0.2041  4 Rh 2.93

[4]
Below is TbErI6 after structural relaxation, with properties calculated at the PBE level.

Output
Total magnetic moment   0.000 μB per atom
Space-group type   No. 12

Cell lengths 8.0908, 8.0908, 7.4436 Å; angles 98.38, 98.38, 125.22 degrees
With the nearest neighbours (Å) after each atom.
Fractional coordinates of all 8 atoms:
Tb: 0.5000 0.5000 0.5000  6 I 3.04-3.06
Er: 0.0000 0.0000 0.0000  6 I 3.01-3.02
I: 0.6052 0.9007 0.7525  1 Er 3.02, 1 Tb 3.06
I: 0.9007 0.6052 0.7525  1 Er 3.02, 1 Tb 3.06
I: 0.0993 0.3948 0.2475  1 Er 3.02, 1 Tb 3.06
I: 0.3948 0.0993 0.2475  1 Er 3.02, 1 Tb 3.06
I: 0.2487 0.2487 0.7512  1 Er 3.01, 1 Tb 3.04
I: 0.7513 0.7513 0.2488  1 Er 3.01, 1 Tb 3.04

Q: Which relative energy among the computed polymorphs values were calculated for the entries above? A: 181 0 0 0, in meV per atom.
Q: Which density values were calculated for the entries above? A: 6.56 8.96 11.60 4.78, in Mg/m³.